(1)
Density functional theory data (PBE) for V4Ni2Ru after structural relaxation.

Calculated density   5849 kg/m³
Space-group type   I4/mmm
Size of the total moment   3.27 μB/f.u.
Raw total energy   -51.059 eV per cell
Formation enthalpy at 0 K   0.893 eV/atom

Cell: 6.7228 6.7228 6.7228 Å, 140.91 140.91 56.48°
Closest atoms and distances in Å follow each position.
Fractional positions:
V: 0.0000 0.5000 0.5000  2 Ru 2.25
V: 0.2023 0.2023 0.0000  1 Ni 2.31, 1 Ru 2.40
V: 0.5000 0.0000 0.5000  2 Ru 2.25
V: 0.7977 0.7977 0.0000  1 Ni 2.31, 1 Ru 2.40
Ni: 0.3976 0.3976 0.0000  5 V 2.31-2.56, 1 Ni 2.43
Ni: 0.6024 0.6024 0.0000  5 V 2.31-2.56, 1 Ni 2.43
Ru: 0.0000 0.0000 0.0000  6 V 2.25-2.40

---

(2)
Density functional theory data (PBE) for Tl2NiBr after structural relaxation.

Calculated density   8335 kg/m³
Space-group type   Immm
Size of the total moment   0.17 μB/f.u.
Excess energy over the best structure of this formula in the dataset   0.224 eV/atom
Raw total energy   -11.428 eV per cell

Cell: 5.6801 5.6801 5.6801 Å, 137.52 114.48 81.26°
Closest atoms and distances in Å follow each position.
Fractional positions:
Tl: 0.1959 0.1959 0.0000  2 Ni 2.66
Tl: 0.8041 0.8041 0.0000  2 Ni 2.66
Ni: 0.0000 0.5000 0.5000  4 Tl 2.66
Br: 0.5000 0.0000 0.5000  8 Tl 3.33-3.51, 4 Ni 3.70

---

(3)
Density functional theory data (PBE) for V12Si5P2 after structural relaxation.

Calculated density   4823 kg/m³
Space-group type   C2/m
Size of the total moment   0.00 μB/f.u.
Raw total energy   -148.385 eV per cell

Cell: 7.0821 7.0821 7.0791 Å, 95.10 95.10 52.46°
Closest atoms and distances in Å follow each position.
Fractional positions:
V: 0.0166 0.0166 0.1791  1 Si 2.30, 2 P 2.36, 3 V 2.53
V: 0.0507 0.6004 0.8831  1 P 2.36, 3 Si 2.44-2.58, 1 V 2.53
V: 0.1348 0.6010 0.4400  4 Si 2.38-2.49, 1 V 2.59
V: 0.3990 0.8652 0.5600  4 Si 2.38-2.49, 1 V 2.59
V: 0.3996 0.9493 0.1169  1 P 2.36, 3 Si 2.44-2.58, 1 V 2.53
V: 0.4686 0.4686 0.6999  2 P 2.41, 2 Si 2.52-2.63, 2 V 2.59
V: 0.5314 0.5314 0.3001  2 P 2.41, 2 Si 2.52-2.63, 2 V 2.59
V: 0.6004 0.0507 0.8831  1 P 2.36, 3 Si 2.44-2.58, 1 V 2.53
V: 0.6010 0.1348 0.4400  4 Si 2.38-2.49, 1 V 2.59
V: 0.8652 0.3990 0.5600  4 Si 2.38-2.49, 1 V 2.59
V: 0.9493 0.3996 0.1169  1 P 2.36, 3 Si 2.44-2.58, 1 V 2.53
V: 0.9834 0.9834 0.8209  1 Si 2.30, 2 P 2.36, 3 V 2.53
Si: 0.0000 0.0000 0.5000  6 V 2.30-2.38
Si: 0.2696 0.2696 0.6417  7 V 2.44-2.52
Si: 0.3323 0.3323 0.1562  7 V 2.44-2.63
Si: 0.6677 0.6677 0.8438  7 V 2.44-2.63
Si: 0.7304 0.7304 0.3583  7 V 2.44-2.52
P: 0.3186 0.6814 0.0000  1 P 2.27, 6 V 2.36-2.41
P: 0.6814 0.3186 0.0000  1 P 2.27, 6 V 2.36-2.41

---

(4)
Density functional theory data (PBE) for Tb2TmInC after structural relaxation.

Calculated density   8573 kg/m³
Space-group type   P4/mmm
Size of the total moment   0.00 μB/f.u.
Raw total energy   -28.208 eV per cell
Formation enthalpy at 0 K   -0.503 eV/atom

Cell: 4.9559 4.9559 4.8391 Å, 90.00 90.00 90.00°
Closest atoms and distances in Å follow each position.
Fractional positions:
Tb: 0.0000 0.5000 0.0000  2 C 2.48
Tb: 0.5000 0.0000 0.0000  2 C 2.48
Tm: 0.0000 0.0000 0.5000  2 C 2.42
In: 0.5000 0.5000 0.5000  8 Tb 3.46, 4 Tm 3.50
C: 0.0000 0.0000 0.0000  2 Tm 2.42, 4 Tb 2.48

---

(5)
Density functional theory data (PBE) for ZnCd3 after structural relaxation.

Calculated density   7875 kg/m³
Space-group type   P4/mmm
Size of the total moment   0.00 μB/f.u.
Raw total energy   -3.675 eV per cell
Formation enthalpy at 0 K   0.086 eV/atom

Cell: 3.3917 3.3917 7.3810 Å, 90.00 90.00 90.00°
Closest atoms and distances in Å follow each position.
Fractional positions:
Zn: 0.0000 0.0000 0.0000  8 Cd 2.93
Cd: 0.0000 0.0000 0.5000  12 Cd 3.13-3.39
Cd: 0.5000 0.5000 0.2275  4 Zn 2.93, 4 Cd 3.13
Cd: 0.5000 0.5000 0.7725  4 Zn 2.93, 4 Cd 3.13

---

(6)
Density functional theory data (PBE) for Ba3Cd3Pb8 after structural relaxation.

Calculated density   8508 kg/m³
Space-group type   Immm
Size of the total moment   0.00 μB/f.u.
Raw total energy   -42.388 eV per cell
Formation enthalpy at 0 K   -0.301 eV/atom

Cell: 9.8711 9.8711 9.8711 Å, 148.38 107.84 80.92°
Closest atoms and distances in Å follow each position.
Fractional positions:
Ba: 0.0000 0.0000 0.0000  12 Pb 3.74-4.11
Ba: 0.2869 0.2869 0.0000  2 Cd 3.61, 10 Pb 3.72-3.99
Ba: 0.7131 0.7131 0.0000  2 Cd 3.61, 10 Pb 3.72-3.99
Cd: 0.3565 0.5000 0.8565  2 Pb 3.14, 3 Cd 3.17-3.34
Cd: 0.5000 0.0000 0.5000  4 Cd 3.17, 4 Pb 3.29
Cd: 0.6435 0.5000 0.1435  2 Pb 3.14, 3 Cd 3.17-3.34
Pb: 0.0150 0.3687 0.6462  1 Cd 3.14, 4 Pb 3.21-3.40
Pb: 0.1437 0.8491 0.2946  3 Pb 3.21-3.34, 3 Cd 3.29-3.59
Pb: 0.2775 0.6313 0.6462  1 Cd 3.14, 4 Pb 3.21-3.40
Pb: 0.4455 0.1509 0.2946  3 Pb 3.21-3.34, 3 Cd 3.29-3.59
Pb: 0.5545 0.8491 0.7054  3 Pb 3.21-3.34, 3 Cd 3.29-3.59
Pb: 0.7225 0.3687 0.3538  1 Cd 3.14, 4 Pb 3.21-3.40
Pb: 0.8563 0.1509 0.7054  3 Pb 3.21-3.34, 3 Cd 3.29-3.59
Pb: 0.9850 0.6313 0.3538  1 Cd 3.14, 4 Pb 3.21-3.40

---

(7)
Density functional theory data (PBE) for Cr2SiSb after structural relaxation.

Calculated density   7215 kg/m³
Space-group type   P4mm
Size of the total moment   0.00 μB/f.u.
Excess energy over the best structure of this formula in the dataset   0.000 eV/atom
Raw total energy   -28.149 eV per cell

Cell: 3.1877 3.1877 5.7494 Å, 90.00 90.00 90.00°
Closest atoms and distances in Å follow each position.
Fractional positions:
Cr: 0.0000 0.0000 0.0000  4 Si 2.41
Cr: 0.5000 0.5000 0.2807  1 Si 2.48, 4 Sb 2.63, 4 Cr 2.77
Si: 0.5000 0.5000 0.8496  5 Cr 2.41-2.48
Sb: 0.0000 0.0000 0.5166  5 Cr 2.63-2.78

---

(8)
Density functional theory data (PBE) for Ce2PrNi4 after structural relaxation.

Calculated density   7388 kg/m³
Space-group type   R-3m
Size of the total moment   0.99 μB/f.u.
Raw total energy   -41.449 eV per cell
Formation enthalpy at 0 K   -0.240 eV/atom

Cell: 10.3871 10.3871 10.3871 Å, 22.78 22.78 22.78°
Closest atoms and distances in Å follow each position.
Fractional positions:
Ce: 0.1195 0.1195 0.1195  6 Ni 2.80-2.82
Ce: 0.8805 0.8805 0.8805  6 Ni 2.80-2.82
Pr: 0.0000 0.0000 0.0000  12 Ni 3.16-3.19
Ni: 0.2631 0.2631 0.2631  3 Ni 2.37
Ni: 0.4022 0.4022 0.4022  3 Ni 2.37
Ni: 0.5978 0.5978 0.5978  3 Ni 2.37
Ni: 0.7369 0.7369 0.7369  3 Ni 2.37

---

(9)
Density functional theory data (PBE) for Ga5CoIr6 after structural relaxation.

Calculated density   15376 kg/m³
Space-group type   Immm
Size of the total moment   2.49 μB/f.u.
Raw total energy   -79.073 eV per cell
Formation enthalpy at 0 K   -0.306 eV/atom

Cell: 7.4602 7.4602 7.4602 Å, 146.55 132.00 59.77°
Closest atoms and distances in Å follow each position.
Fractional positions:
Ga: 0.0000 0.0000 0.0000  8 Ir 2.62-2.64
Ga: 0.1673 0.6673 0.5000  8 Ir 2.62-2.64
Ga: 0.3390 0.3390 0.0000  8 Ir 2.59-2.68
Ga: 0.6610 0.6610 0.0000  8 Ir 2.59-2.68
Ga: 0.8327 0.3327 0.5000  8 Ir 2.62-2.64
Co: 0.5000 0.0000 0.5000  8 Ir 2.64-2.65
Ir: 0.0814 0.8324 0.2491  7 Ga 2.62-2.68, 1 Co 2.65
Ir: 0.2478 0.5000 0.7478  6 Ga 2.59-2.64, 2 Co 2.64
Ir: 0.4167 0.1676 0.2491  7 Ga 2.62-2.68, 1 Co 2.65
Ir: 0.5833 0.8324 0.7509  7 Ga 2.62-2.68, 1 Co 2.65
Ir: 0.7522 0.5000 0.2522  6 Ga 2.59-2.64, 2 Co 2.64
Ir: 0.9186 0.1676 0.7509  7 Ga 2.62-2.68, 1 Co 2.65

---

(10)
Density functional theory data (PBE) for NbPd2W after structural relaxation.

Calculated density   11672 kg/m³
Space-group type   I-42d
Size of the total moment   0.00 μB/f.u.
Excess energy over the best structure of this formula in the dataset   0.438 eV/atom
Raw total energy   -63.181 eV per cell
Formation enthalpy at 0 K   0.455 eV/atom

Cell: 5.7620 5.7620 5.7620 Å, 102.43 102.43 124.71°
Closest atoms and distances in Å follow each position.
Fractional positions:
Nb: 0.0000 0.0000 0.0000  2 W 2.67, 4 Pd 2.69
Nb: 0.7500 0.2500 0.5000  2 W 2.67, 4 Pd 2.69
Pd: 0.1363 0.6250 0.0113  2 W 2.58, 2 Pd 2.68, 2 Nb 2.69
Pd: 0.3750 0.3863 0.5113  2 W 2.58, 2 Pd 2.68, 2 Nb 2.69
Pd: 0.6137 0.1250 0.9887  2 W 2.58, 2 Pd 2.68, 2 Nb 2.69
Pd: 0.8750 0.8637 0.4887  2 W 2.58, 2 Pd 2.68, 2 Nb 2.69
W: 0.2500 0.7500 0.5000  4 Pd 2.58, 2 Nb 2.67
W: 0.5000 0.5000 0.0000  4 Pd 2.58, 2 Nb 2.67

---

(11)
Density functional theory data (PBE) for CaLaZrBr2 after structural relaxation.

Calculated density   4115 kg/m³
Space-group type   P4/mmm
Size of the total moment   0.02 μB/f.u.
Raw total energy   -19.556 eV per cell

Cell: 5.4312 5.4312 5.8822 Å, 90.00 90.00 90.00°
Closest atoms and distances in Å follow each position.
Fractional positions:
Ca: 0.0000 0.0000 0.0000  4 La 3.84, 8 Br 4.00
La: 0.5000 0.5000 0.0000  2 Zr 2.94
Zr: 0.5000 0.5000 0.5000  4 Br 2.72, 2 La 2.94
Br: 0.0000 0.5000 0.5000  2 Zr 2.72
Br: 0.5000 0.0000 0.5000  2 Zr 2.72

---

(12)
Density functional theory data (PBE) for CaZr2Sb2 after structural relaxation.

Calculated density   6176 kg/m³
Space-group type   P4/mbm
Size of the total moment   0.00 μB/f.u.
Excess energy over the best structure of this formula in the dataset   0.000 eV/atom
Raw total energy   -60.983 eV per cell

Cell: 8.1018 8.1018 3.8182 Å, 90.00 90.00 90.00°
Closest atoms and distances in Å follow each position.
Fractional positions:
Ca: 0.0000 0.0000 0.0000  4 Sb 3.10
Ca: 0.5000 0.5000 0.0000  4 Sb 3.10
Zr: 0.1415 0.3585 0.5000  6 Sb 3.02-3.08, 1 Zr 3.24
Zr: 0.3585 0.8585 0.5000  6 Sb 3.02-3.08, 1 Zr 3.24
Zr: 0.6415 0.1415 0.5000  6 Sb 3.02-3.08, 1 Zr 3.24
Zr: 0.8585 0.6415 0.5000  6 Sb 3.02-3.08, 1 Zr 3.24
Sb: 0.1473 0.6473 0.0000  6 Zr 3.02-3.08, 2 Ca 3.10, 1 Sb 3.38
Sb: 0.3527 0.1473 0.0000  6 Zr 3.02-3.08, 2 Ca 3.10, 1 Sb 3.38
Sb: 0.6473 0.8527 0.0000  6 Zr 3.02-3.08, 2 Ca 3.10, 1 Sb 3.38
Sb: 0.8527 0.3527 0.0000  6 Zr 3.02-3.08, 2 Ca 3.10, 1 Sb 3.38